1.
! TcGeIN2 | the Alexandria database | PBE | optimized geometry; values from VASP
&SYSTEM
  ibrav = 0, nat = 5, ntyp = 4
/
ATOMIC_SPECIES
I 126.90 I.upf
Ge 72.64 Ge.upf
Tc 98.00 Tc.upf
N 14.01 N.upf
ATOMIC_POSITIONS crystal
I 0.000 0.000 0.000
Ge 0.500 0.500 0.500
Tc 0.000 0.500 0.000
N 0.000 0.000 0.500
N 0.500 0.000 0.000
CELL_PARAMETERS angstrom
-3.662 -0.188 -1.575
1.583 -4.031 -3.199
-1.068 -2.638 2.797
! * total magnetic moment: 0.57 μB per atom
! * E above lowest polymorph: 1221 meV/atom
! * Fermi-level density of states: 3.882 states/eV/cell
! * E_tot: -22.40 eV for the cell shown



2.
! AcHg2Pd | the Alexandria database | PBE | optimized geometry; values from VASP
&SYSTEM
  ibrav = 0, nat = 4, ntyp = 3
/
ATOMIC_SPECIES
Ac 227.00 Ac.upf
Hg 200.59 Hg.upf
Pd 106.42 Pd.upf
ATOMIC_POSITIONS crystal
Ac 0.500 0.500 0.500
Hg 0.000 0.000 0.500
Hg 0.000 0.500 0.000
Pd 0.500 0.000 0.000
CELL_PARAMETERS angstrom
5.385 0.000 0.000
0.000 4.425 0.000
0.000 0.000 4.425
! * total magnetic moment: 0.00 μB per atom
! * E above lowest polymorph: 179 meV/atom
! * Fermi-level density of states: 2.811 states/eV/cell
! * E_tot: -11.51 eV for the cell shown
! * ΔH_f (0 K): -0.40 eV/atom



3.
! TiH2Rh4 | the Alexandria database | PBE | optimized geometry; values from VASP
&SYSTEM
  ibrav = 0, nat = 14, ntyp = 3
/
ATOMIC_SPECIES
Ti 47.87 Ti.upf
H 1.01 H.upf
Rh 102.91 Rh.upf
ATOMIC_POSITIONS crystal
Ti 0.359 0.691 0.463
Ti 0.065 0.974 0.016
H 0.511 0.973 0.290
H 0.730 0.354 0.736
H 0.269 0.279 0.887
H 0.449 0.457 0.209
Rh 0.935 0.622 0.634
Rh 0.498 0.061 0.828
Rh 0.786 0.246 0.252
Rh 0.351 0.175 0.444
Rh 0.918 0.105 0.628
Rh 0.083 0.487 0.029
Rh 0.783 0.751 0.258
Rh 0.514 0.575 0.826
CELL_PARAMETERS angstrom
4.364 0.210 -1.693
-2.393 4.732 -1.548
0.143 0.721 6.962
! * total magnetic moment: 0.00 μB per atom
! * Fermi-level density of states: 11.087 states/eV/cell
! * E_tot: -91.68 eV for the cell shown



Number 2 is which compound?
AcHg2Pd



Which of these has the lowest E_tot?
TiH2Rh4